Record 1
Cs2HoSb2S6 after structural relaxation. Source: Alexandria via LeMat-Bulk, functional PBE.

- N(E_F) (states/eV/f.u.) = 4.1
- total energy (eV/atom) = -4.4377
- calculated density (g cm⁻³) = 3.9
- formation energy (no corrections) (eV/atom) = -0.87

Cell and atoms, written as CIF:
```
data_Cs2HoSb2S6
_cell_length_a 12.5464
_cell_length_b 7.4460
_cell_length_c 8.8226
_cell_angle_alpha 90.00
_cell_angle_beta 116.66
_cell_angle_gamma 90.00
_symmetry_space_group_name_H-M 'C 1 2/m 1'
_symmetry_Int_Tables_number 12
_symmetry_space_group_name_Hall '-C 2y'
loop_
_atom_site_label
_atom_site_type_symbol
_atom_site_fract_x
_atom_site_fract_y
_atom_site_fract_z
Cs1 Cs 0.2026 0.0000 0.1729
Ho1 Ho 0.0000 0.0000 0.5000
Sb1 Sb 0.0602 0.5000 0.2066
S1 S 0.0425 0.2394 0.7606
S2 S 0.2343 0.0000 0.5832
```

=====

Record 2
H3PtI after structural relaxation. Source: Alexandria via LeMat-Bulk, functional PBE.

- relative energy among the computed polymorphs (eV/atom) = 0.612
- N(E_F) (states/eV/f.u.) = 4.4
- total energy (eV/atom) = -2.8832
- calculated density (g cm⁻³) = 9.3

Cell and atoms, written as CIF:
```
data_H3PtI
_cell_length_a 3.8740
_cell_length_b 3.8740
_cell_length_c 3.8740
_cell_angle_alpha 90.00
_cell_angle_beta 90.00
_cell_angle_gamma 90.00
_symmetry_space_group_name_H-M 'P m -3 m'
_symmetry_Int_Tables_number 221
_symmetry_space_group_name_Hall '-P 4 2 3'
loop_
_atom_site_label
_atom_site_type_symbol
_atom_site_fract_x
_atom_site_fract_y
_atom_site_fract_z
H1 H 0.0000 0.0000 0.5000
Pt1 Pt 0.0000 0.0000 0.0000
I1 I 0.5000 0.5000 0.5000
```

=====

Record 3
Ta2BeW after structural relaxation. Source: Alexandria via LeMat-Bulk, functional PBE.

- formation enthalpy at 0 K (meV/atom) = 370.5
- N(E_F) (states/eV/f.u.) = 2.8
- total energy (eV/atom) = -9.7256
- calculated density (g cm⁻³) = 14.3

Cell and atoms, written as CIF:
```
data_Ta2BeW
_cell_length_a 2.8390
_cell_length_b 2.8390
_cell_length_c 27.7211
_cell_angle_alpha 90.00
_cell_angle_beta 90.00
_cell_angle_gamma 120.00
_symmetry_space_group_name_H-M 'R -3 m'
_symmetry_Int_Tables_number 166
_symmetry_space_group_name_Hall '-R 3 2"'
loop_
_atom_site_label
_atom_site_type_symbol
_atom_site_fract_x
_atom_site_fract_y
_atom_site_fract_z
Ta1 Ta 0.0000 0.0000 0.2431
Be1 Be 0.0000 0.0000 0.5000
W1 W 0.0000 0.0000 0.0000
```

=====

Record 4
SrMoOs2 after structural relaxation. Source: Alexandria via LeMat-Bulk, functional PBE.

- formation enthalpy at 0 K (meV/atom) = 757.8
- relative energy among the computed polymorphs (eV/atom) = 0.251
- N(E_F) (states/eV/f.u.) = 3.4
- total energy (eV/atom) = -7.9853
- calculated density (g cm⁻³) = 13.4

Cell and atoms, written as CIF:
```
data_SrMoOs2
_cell_length_a 2.8689
_cell_length_b 2.8689
_cell_length_c 29.4993
_cell_angle_alpha 90.00
_cell_angle_beta 90.00
_cell_angle_gamma 120.00
_symmetry_space_group_name_H-M 'R -3 m'
_symmetry_Int_Tables_number 166
_symmetry_space_group_name_Hall '-R 3 2"'
loop_
_atom_site_label
_atom_site_type_symbol
_atom_site_fract_x
_atom_site_fract_y
_atom_site_fract_z
Sr1 Sr 0.0000 0.0000 0.0000
Mo1 Mo 0.0000 0.0000 0.5000
Os1 Os 0.0000 0.0000 0.2393
```

=====

Record 5
ReAgB2S after structural relaxation. Source: Alexandria via LeMat-Bulk, functional PBE.

- N(E_F) (states/eV/f.u.) = 4.3
- total energy (eV/atom) = -5.1002
- calculated density (g cm⁻³) = 6.5
- formation energy (no corrections) (eV/atom) = 1.46

Cell and atoms, written as CIF:
```
data_ReAgB2S
_cell_length_a 4.0102
_cell_length_b 4.0102
_cell_length_c 5.5662
_cell_angle_alpha 90.00
_cell_angle_beta 90.00
_cell_angle_gamma 90.00
_symmetry_space_group_name_H-M 'P 4/m m m'
_symmetry_Int_Tables_number 123
_symmetry_space_group_name_Hall '-P 4 2'
loop_
_atom_site_label
_atom_site_type_symbol
_atom_site_fract_x
_atom_site_fract_y
_atom_site_fract_z
Re1 Re 0.0000 0.0000 0.0000
Ag1 Ag 0.0000 0.0000 0.5000
B1 B 0.0000 0.5000 0.0000
S1 S 0.5000 0.5000 0.5000
```

=====

Record 6
Nd4SnHgN after structural relaxation. Source: Alexandria via LeMat-Bulk, functional PBE.

- N(E_F) (states/eV/f.u.) = 4.0
- total energy (eV/atom) = -5.2767
- calculated density (g cm⁻³) = 7.7
- formation energy (no corrections) (eV/atom) = -0.75

Cell and atoms, written as CIF:
```
data_Nd4SnHgN
_cell_length_a 6.9839
_cell_length_b 16.1488
_cell_length_c 6.9827
_cell_angle_alpha 90.00
_cell_angle_beta 90.00
_cell_angle_gamma 90.00
_symmetry_space_group_name_H-M 'C m c m'
_symmetry_Int_Tables_number 63
_symmetry_space_group_name_Hall '-C 2c 2'
loop_
_atom_site_label
_atom_site_type_symbol
_atom_site_fract_x
_atom_site_fract_y
_atom_site_fract_z
Nd1 Nd 0.0000 0.0805 0.2500
Nd2 Nd 0.0000 0.4133 0.2500
Nd3 Nd 0.2500 0.2500 0.0000
Sn1 Sn 0.0000 0.3886 0.7500
Hg1 Hg 0.0000 0.1153 0.7500
N1 N 0.0000 0.2516 0.2500
```

=====

Record 7
ZrIrCl2 after structural relaxation. Source: Alexandria via LeMat-Bulk, functional PBE.

- relative energy among the computed polymorphs (eV/atom) = 0.634
- N(E_F) (states/eV/f.u.) = 4.9
- total energy (eV/atom) = -5.4478
- calculated density (g cm⁻³) = 6.6
- formation energy (no corrections) (eV/atom) = -0.17

Cell and atoms, written as CIF:
```
data_ZrIrCl2
_cell_length_a 3.0654
_cell_length_b 3.0654
_cell_length_c 33.0911
_cell_angle_alpha 90.00
_cell_angle_beta 90.00
_cell_angle_gamma 120.00
_symmetry_space_group_name_H-M 'R -3 m'
_symmetry_Int_Tables_number 166
_symmetry_space_group_name_Hall '-R 3 2"'
loop_
_atom_site_label
_atom_site_type_symbol
_atom_site_fract_x
_atom_site_fract_y
_atom_site_fract_z
Zr1 Zr 0.0000 0.0000 0.0000
Ir1 Ir 0.0000 0.0000 0.5000
Cl1 Cl 0.0000 0.0000 0.2763
```

=====

Record 8
SbPRh2 after structural relaxation. Source: Alexandria via LeMat-Bulk, functional PBE.

- relative energy among the computed polymorphs (eV/atom) = 0.322
- N(E_F) (states/eV/f.u.) = 2.7
- total energy (eV/atom) = -6.1835
- calculated density (g cm⁻³) = 8.2
- formation energy (no corrections) (eV/atom) = -0.12

Cell and atoms, written as CIF:
```
data_SbPRh2
_cell_length_a 3.3244
_cell_length_b 3.3244
_cell_length_c 22.7403
_cell_angle_alpha 90.00
_cell_angle_beta 90.00
_cell_angle_gamma 120.00
_symmetry_space_group_name_H-M 'R 3 m'
_symmetry_Int_Tables_number 160
_symmetry_space_group_name_Hall 'R 3 -2"'
loop_
_atom_site_label
_atom_site_type_symbol
_atom_site_fract_x
_atom_site_fract_y
_atom_site_fract_z
Sb1 Sb 0.0000 0.0000 0.0000
P1 P 0.0000 0.0000 0.7731
Rh1 Rh 0.0000 0.0000 0.2566
Rh2 Rh 0.0000 0.0000 0.4911
```

=====

> What is the formula in the fourth record?

SrMoOs2

=====

What did the third record say?
Ta2BeW after structural relaxation. Source: Alexandria via LeMat-Bulk, functional PBE.

- formation enthalpy at 0 K (meV/atom) = 370.5
- N(E_F) (states/eV/f.u.) = 2.8
- total energy (eV/atom) = -9.7256
- calculated density (g cm⁻³) = 14.3

Cell and atoms, written as CIF:
```
data_Ta2BeW
_cell_length_a 2.8390
_cell_length_b 2.8390
_cell_length_c 27.7211
_cell_angle_alpha 90.00
_cell_angle_beta 90.00
_cell_angle_gamma 120.00
_symmetry_space_group_name_H-M 'R -3 m'
_symmetry_Int_Tables_number 166
_symmetry_space_group_name_Hall '-R 3 2"'
loop_
_atom_site_label
_atom_site_type_symbol
_atom_site_fract_x
_atom_site_fract_y
_atom_site_fract_z
Ta1 Ta 0.0000 0.0000 0.2431
Be1 Be 0.0000 0.0000 0.5000
W1 W 0.0000 0.0000 0.0000
```

=====

> Number 1 is which compound?

Cs2HoSb2S6

=====

> Which of these has the lowest total energy?

Ta2BeW